Density functional theory data (GGA-PBE) for an optimized crystal structure of Cd3InSn.

Unit cell a=5.616 b=5.616 c=5.616 alpha=90.00 beta=90.00 gamma=90.00
Positions (direct):
Cd 0.500 0.000 0.000
Cd 0.000 0.500 0.000
Cd 0.000 0.000 0.500
Sn 0.000 0.000 0.000
In 0.500 0.500 0.500

Calculated values
space-group type: Pm-3m, No. 221
relative energy among the computed polymorphs: 333 meV/atom

Density functional theory data (GGA-PBE) for an optimized crystal structure of Cd2In3Sn7.

Unit cell a=3.361 b=5.335 c=18.512 alpha=90.58 beta=90.00 gamma=90.00
Positions (direct):
In 0.500 0.500 0.000
In 0.000 0.238 0.365
In 0.000 0.762 0.635
Cd 0.500 0.731 0.299
Cd 0.500 0.269 0.701
Sn 0.000 0.000 0.000
Sn 0.500 0.223 0.199
Sn 0.500 0.748 0.460
Sn 0.500 0.777 0.801
Sn 0.500 0.252 0.540
Sn 0.000 0.726 0.150
Sn 0.000 0.274 0.850

Calculated values
space-group type: P2/m, No. 10

Density functional theory data (GGA-PBE) for an optimized crystal structure of Cd4In5Sn.

Unit cell a=3.748 b=3.748 c=18.488 alpha=90.00 beta=90.00 gamma=90.00
Positions (direct):
Cd 0.000 0.000 0.795
Cd 0.000 0.000 0.403
Cd 0.000 0.000 0.597
Cd 0.000 0.000 0.205
In 0.500 0.500 0.303
In 0.500 0.500 0.107
In 0.500 0.500 0.893
In 0.500 0.500 0.697
In 0.500 0.500 0.500
Sn 0.000 0.000 0.000

Calculated values
space-group type: P4/mmm, No. 123
relative energy among the computed polymorphs: 36 meV/atom

Density functional theory data (GGA-PBE) for an optimized crystal structure of CdIn2Sn.

Unit cell a=8.440 b=8.440 c=6.726 alpha=51.14 beta=51.14 gamma=90.00
Positions (direct):
In 0.124 0.625 0.250
In 0.875 0.876 0.750
In 0.626 0.125 0.250
In 0.375 0.374 0.750
Sn 0.000 0.000 0.000
Sn 0.750 0.250 0.500
Cd 0.500 0.500 0.000
Cd 0.250 0.750 0.500

Calculated values
space-group type: I-42d, No. 122
relative energy among the computed polymorphs: 69 meV/atom

Density functional theory data (GGA-PBE) for an optimized crystal structure of Cd8In2Sn3.

Unit cell a=6.650 b=7.053 c=8.599 alpha=114.21 beta=110.20 gamma=90.00
Positions (direct):
Cd 0.455 0.425 0.294
Cd 0.545 0.131 0.706
Cd 0.149 0.196 0.392
Cd 0.201 0.742 0.483
Cd 0.851 0.804 0.608
Cd 0.799 0.258 0.517
Cd 0.545 0.575 0.706
Cd 0.455 0.869 0.294
Sn 0.000 0.216 0.000
Sn 0.500 0.000 0.000
Sn 0.000 0.784 0.000
In 0.754 0.576 0.152
In 0.246 0.424 0.848

Calculated values
space-group type: C2/m, No. 12

Density functional theory data (GGA-PBE) for an optimized crystal structure of CdIn4Sn.

Unit cell a=6.217 b=6.217 c=6.217 alpha=60.00 beta=60.00 gamma=60.00
Positions (direct):
In 0.625 0.125 0.625
In 0.625 0.625 0.125
In 0.625 0.625 0.625
In 0.125 0.625 0.625
Sn 0.000 0.000 0.000
Cd 0.250 0.250 0.250

Calculated values
space-group type: F-43m, No. 216
relative energy among the computed polymorphs: 123 meV/atom

Density functional theory data (GGA-PBE) for an optimized crystal structure of CdIn8Sn2.

Unit cell a=5.607 b=7.879 c=7.879 alpha=72.14 beta=81.81 gamma=81.81
Positions (direct):
In 0.668 0.611 0.611
In 0.213 0.352 0.800
In 0.332 0.389 0.389
In 0.213 0.800 0.352
In 0.787 0.648 0.200
In 0.787 0.200 0.648
In 0.916 0.250 0.250
In 0.084 0.750 0.750
Sn 0.474 0.131 0.131
Sn 0.526 0.869 0.869
Cd 0.000 0.000 0.000

Calculated values
space-group type: C2/m, No. 12
relative energy among the computed polymorphs: 48 meV/atom

Density functional theory data (GGA-PBE) for an optimized crystal structure of Cd4In10Sn.

Unit cell a=7.009 b=8.619 c=8.619 alpha=80.48 beta=66.01 gamma=66.01
Positions (direct):
Sn 0.000 0.000 0.000
In 0.151 0.307 0.896
In 0.354 0.693 0.104
In 0.750 0.500 0.500
In 0.250 0.500 0.500
In 0.849 0.693 0.104
In 0.047 0.104 0.307
In 0.646 0.307 0.896
In 0.543 0.104 0.307
In 0.457 0.896 0.693
In 0.953 0.896 0.693
Cd 0.798 0.603 0.801
Cd 0.202 0.397 0.199
Cd 0.599 0.199 0.603
Cd 0.401 0.801 0.397

Calculated values
space-group type: I4/m, No. 87

Density functional theory data (GGA-PBE) for an optimized crystal structure of CdInSn4.

Unit cell a=6.262 b=6.262 c=6.262 alpha=60.00 beta=60.00 gamma=60.00
Positions (direct):
Sn 0.625 0.625 0.625
Sn 0.625 0.625 0.125
Sn 0.625 0.125 0.625
Sn 0.125 0.625 0.625
Cd 0.000 0.000 0.000
In 0.250 0.250 0.250

Calculated values
space-group type: F-43m, No. 216
relative energy among the computed polymorphs: 93 meV/atom

Density functional theory data (GGA-PBE) for an optimized crystal structure of CdInSn4.

Unit cell a=5.617 b=6.235 c=6.235 alpha=96.22 beta=116.23 gamma=116.23
Positions (direct):
Sn 0.750 0.922 0.078
Sn 0.250 0.078 0.922
Sn 0.750 0.578 0.422
Sn 0.250 0.422 0.578
Cd 0.000 0.500 0.000
In 0.500 0.000 0.500

Calculated values
space-group type: C2/m, No. 12
relative energy among the computed polymorphs: 0 meV/atom

Density functional theory data (GGA-PBE) for an optimized crystal structure of Cd5In3Sn12.

Unit cell a=15.057 b=15.057 c=15.057 alpha=109.47 beta=109.47 gamma=109.47
Positions (direct):
Sn 0.639 0.573 0.910
Sn 0.729 0.590 0.163
Sn 0.229 0.566 0.639
Sn 0.073 0.910 0.139
Sn 0.434 0.663 0.073
Sn 0.410 0.139 0.573
Sn 0.910 0.837 0.771
Sn 0.663 0.229 0.590
Sn 0.927 0.090 0.861
Sn 0.934 0.573 0.163
Sn 0.663 0.434 0.573
Sn 0.573 0.639 0.410
Sn 0.271 0.861 0.934
Sn 0.837 0.910 0.271
Sn 0.434 0.771 0.861
Sn 0.090 0.927 0.361
Sn 0.361 0.934 0.771
Sn 0.139 0.729 0.566
Sn 0.337 0.566 0.427
Sn 0.073 0.163 0.434
Sn 0.229 0.663 0.090
Sn 0.066 0.639 0.729
Sn 0.066 0.427 0.837
Sn 0.729 0.139 0.066
Sn 0.090 0.163 0.229
Sn 0.861 0.271 0.434
Sn 0.590 0.729 0.663
Sn 0.590 0.861 0.427
Sn 0.163 0.073 0.934
Sn 0.271 0.410 0.837
Sn 0.771 0.337 0.910
Sn 0.139 0.410 0.073
Sn 0.639 0.066 0.229
Sn 0.566 0.337 0.927
Sn 0.927 0.837 0.566
Sn 0.163 0.090 0.729
Sn 0.410 0.271 0.337
Sn 0.837 0.927 0.066
Sn 0.427 0.066 0.337
Sn 0.934 0.361 0.271
Sn 0.427 0.361 0.590
Sn 0.771 0.434 0.361
Sn 0.337 0.771 0.410
Sn 0.910 0.073 0.639
Sn 0.861 0.590 0.927
Sn 0.361 0.427 0.090
Sn 0.566 0.229 0.139
Sn 0.573 0.934 0.663
In 0.125 0.250 0.875
In 0.125 0.875 0.750
In 0.625 0.375 0.750
In 0.250 0.625 0.875
In 0.375 0.750 0.625
In 0.750 0.375 0.125
In 0.875 0.750 0.125
In 0.625 0.250 0.375
In 0.375 0.625 0.250
In 0.875 0.125 0.250
In 0.750 0.875 0.625
In 0.250 0.125 0.375
Cd 0.750 0.625 0.375
Cd 0.000 0.000 0.500
Cd 0.375 0.250 0.125
Cd 0.375 0.125 0.750
Cd 0.000 0.500 0.500
Cd 0.125 0.750 0.375
Cd 0.500 0.500 0.500
Cd 0.250 0.875 0.125
Cd 0.125 0.375 0.250
Cd 0.500 0.000 0.500
Cd 0.000 0.000 0.000
Cd 0.625 0.750 0.875
Cd 0.000 0.500 0.000
Cd 0.500 0.500 0.000
Cd 0.500 0.000 0.000
Cd 0.625 0.875 0.250
Cd 0.250 0.375 0.625
Cd 0.750 0.125 0.875
Cd 0.875 0.625 0.750
Cd 0.875 0.250 0.625

Calculated values
space-group type: Ia-3d, No. 230

Density functional theory data (GGA-PBE) for an optimized crystal structure of CdIn2Sn2.

Unit cell a=9.221 b=9.221 c=3.356 alpha=90.00 beta=90.00 gamma=90.00
Positions (direct):
Sn 0.133 0.633 0.500
Sn 0.367 0.133 0.500
Sn 0.633 0.867 0.500
Sn 0.867 0.367 0.500
In 0.663 0.163 0.000
In 0.837 0.663 0.000
In 0.163 0.337 0.000
In 0.337 0.837 0.000
Cd 0.000 0.000 0.000
Cd 0.500 0.500 0.000

Calculated values
space-group type: P4/mbm, No. 127
relative energy among the computed polymorphs: 72 meV/atom

Density functional theory data (GGA-PBE) for an optimized crystal structure of Cd3In10Sn3.

Unit cell a=6.226 b=9.033 c=9.033 alpha=120.00 beta=90.00 gamma=90.00
Positions (direct):
Cd 0.500 0.000 0.394
Cd 0.500 0.606 0.606
Cd 0.500 0.394 0.000
In 0.000 0.781 0.781
In 0.500 0.765 0.000
In 0.000 0.000 0.219
In 0.744 0.667 0.333
In 0.256 0.667 0.333
In 0.256 0.333 0.667
In 0.000 0.219 0.000
In 0.500 0.235 0.235
In 0.744 0.333 0.667
In 0.500 0.000 0.765
Sn 0.000 0.000 0.584
Sn 0.000 0.416 0.416
Sn 0.000 0.584 0.000

Calculated values
space-group type: P-62m, No. 189

Density functional theory data (GGA-PBE) for an optimized crystal structure of Cd2In12Sn5.

Unit cell a=7.359 b=9.095 c=9.341 alpha=91.06 beta=90.00 gamma=113.86
Positions (direct):
In 0.474 0.948 0.671
In 0.526 0.052 0.329
In 0.605 0.719 0.408
In 0.114 0.719 0.408
In 0.886 0.281 0.592
In 0.576 0.623 0.874
In 0.047 0.623 0.874
In 0.957 0.914 0.806
In 0.953 0.377 0.126
In 0.424 0.377 0.126
In 0.043 0.086 0.194
In 0.395 0.281 0.592
Sn 0.354 0.708 0.135
Sn 0.646 0.292 0.865
Sn 0.000 0.000 0.500
Sn 0.716 0.432 0.367
Sn 0.284 0.568 0.633
Cd 0.700 0.000 0.000
Cd 0.300 0.000 0.000

Calculated values
space-group type: C2/m, No. 12
relative energy among the computed polymorphs: 42 meV/atom

Density functional theory data (GGA-PBE) for an optimized crystal structure of Cd5InSn2.

Unit cell a=4.811 b=6.418 c=12.776 alpha=90.00 beta=90.00 gamma=90.00
Positions (direct):
Cd 0.000 0.000 0.000
Cd 0.500 0.251 0.876
Cd 0.000 0.492 0.256
Cd 0.500 0.249 0.376
Cd 0.000 0.008 0.756
Cd 0.500 0.751 0.624
Cd 0.000 0.992 0.244
Cd 0.500 0.749 0.124
Cd 0.000 0.508 0.744
Cd 0.000 0.500 0.500
Sn 0.500 0.749 0.371
Sn 0.500 0.249 0.129
Sn 0.500 0.251 0.629
Sn 0.500 0.751 0.871
In 0.000 0.500 0.000
In 0.000 0.000 0.500

Calculated values
space-group type: Pbam, No. 55

Density functional theory data (GGA-PBE) for an optimized crystal structure of Cd2In8Sn3.

Unit cell a=5.344 b=9.084 c=9.007 alpha=120.28 beta=73.60 gamma=90.00
Positions (direct):
Cd 0.342 0.341 0.681
Cd 0.658 0.659 0.319
In 0.697 0.031 0.639
In 0.303 0.969 0.361
In 0.832 0.166 0.333
In 0.168 0.834 0.667
In 0.228 0.569 0.137
In 0.772 0.431 0.863
In 0.303 0.392 0.361
In 0.697 0.608 0.639
Sn 0.000 0.780 0.000
Sn 0.500 0.000 0.000
Sn 0.000 0.220 0.000

Calculated values
space-group type: C2/m, No. 12

Density functional theory data (GGA-PBE) for an optimized crystal structure of CdIn5Sn8.

Unit cell a=8.252 b=8.252 c=8.252 alpha=103.16 beta=103.16 gamma=122.99
Positions (direct):
In 0.005 0.982 0.249
In 0.500 0.500 0.000
In 0.244 0.995 0.977
In 0.018 0.267 0.023
In 0.733 0.756 0.751
Sn 0.558 0.912 0.987
Sn 0.926 0.572 0.013
Sn 0.550 0.243 0.613
Sn 0.063 0.450 0.693
Sn 0.088 0.074 0.646
Sn 0.630 0.937 0.387
Sn 0.428 0.442 0.354
Sn 0.757 0.370 0.307
Cd 0.250 0.750 0.500

Calculated values
space-group type: I-4, No. 82

| no. | ΔE_f (meV/atom) | VASP energy (eV/atom) | calculated volume (Å³/f.u.) |
| --- | --- | --- | --- |
| 1 | 369.9 | -1.53 | 177 |
| 2 | 85.4 | -3.09 | 332 |
| 3 | 57.7 | -2.08 | 260 |
| 4 | 92.5 | -2.51 | 110 |
| 5 | 76.7 | -1.83 | 340 |
| 6 | 154.5 | -2.49 | 170 |
| 7 | 101.0 | -2.70 | 326 |
| 8 | 62.3 | -2.27 | 435 |
| 9 | 143.5 | -3.13 | 174 |
| 10 | 50.4 | -3.23 | 163 |
| 11 | 176.3 | -2.86 | 657 |
| 12 | 122.5 | -2.76 | 143 |
| 13 | 62.5 | -2.57 | 440 |
| 14 | 82.1 | -2.80 | 572 |
| 15 | 45.4 | -1.87 | 197 |
| 16 | 57.7 | -2.69 | 357 |
| 17 | 97.2 | -3.23 | 414 |